Run i
A geometry-optimized SrSc2In structure, computed with PBE-GGA.

Cell: 5.8772 5.8772 5.8772 Å, 131.82 131.82 70.51°
Last column: nearest neighbours and their distance in Å.
Atoms (fractional coordinates):
In 0.7500 0.2500 0.5000  8 Sc 3.39, 4 Sr 3.39
Sc 0.0000 0.0000 0.0000  4 Sr 3.39, 4 In 3.39, 4 Sc 3.39
Sc 0.2500 0.7500 0.5000  4 In 3.39, 4 Sc 3.39, 4 Sr 3.39
Sr 0.5000 0.5000 0.0000  8 Sc 3.39, 4 In 3.39

## Properties
- Size of the total moment: 0.79 μB/f.u.
- Density of states at the Fermi level: 5.150 states/eV/cell


Run ii
A geometry-optimized SrSc2In structure, computed with PBE-GGA.

Cell: 3.4672 5.8395 6.8009 Å, 55.30 90.00 90.00°
Last column: nearest neighbours and their distance in Å.
Atoms (fractional coordinates):
In 0.0000 0.0000 0.5000  4 Sr 3.40, 6 Sc 3.40-3.43, 2 In 3.47
Sc 0.0000 0.0000 0.0000  6 Sc 3.40-3.47, 2 In 3.40, 4 Sr 3.43
Sc 0.5000 0.5000 0.0000  6 Sc 3.40-3.47, 2 Sr 3.40, 4 In 3.43
Sr 0.5000 0.5000 0.5000  4 In 3.40, 6 Sc 3.40-3.43, 2 Sr 3.47

## Properties
- Size of the total moment: 0.00 μB/f.u.
- Density of states at the Fermi level: 5.238 states/eV/cell


Run iii
A geometry-optimized SrSc2In structure, computed with PBE-GGA.

Cell: 5.4044 5.4044 5.4044 Å, 60.00 60.00 60.00°
Last column: nearest neighbours and their distance in Å.
Atoms (fractional coordinates):
In 0.5000 0.5000 0.5000  4 Sr 3.31, 4 Sc 3.31
Sc 0.0000 0.0000 0.0000  4 Sc 3.31, 4 Sr 3.31
Sc 0.2500 0.2500 0.2500  4 In 3.31, 4 Sc 3.31
Sr 0.7500 0.7500 0.7500  4 In 3.31, 4 Sc 3.31

## Properties
- Size of the total moment: 0.90 μB/f.u.
- Density of states at the Fermi level: 5.976 states/eV/cell


Tell me which of them is the most stable. Sure, it is run i.


Run i
A geometry-optimized Sr3ScIn structure, computed with PBE-GGA.

Cell: 6.3157 6.3157 6.3157 Å, 90.00 90.00 90.00°
Last column: nearest neighbours and their distance in Å.
Atoms (fractional coordinates):
Sc 0.5000 0.5000 0.5000  12 Sr 4.47
Sr 0.0000 0.5000 0.0000  2 In 3.16
Sr 0.0000 0.0000 0.5000  2 In 3.16
Sr 0.5000 0.0000 0.0000  2 In 3.16
In 0.0000 0.0000 0.0000  6 Sr 3.16

## Properties
- Size of the total moment: 1.91 μB/f.u.
- Density of states at the Fermi level: 7.115 states/eV/cell


Run ii
A geometry-optimized Sr3ScIn structure, computed with PBE-GGA.

Cell: 6.2674 6.2674 6.2674 Å, 90.00 90.00 90.00°
Last column: nearest neighbours and their distance in Å.
Atoms (fractional coordinates):
Sc 0.0000 0.0000 0.0000  6 Sr 3.13
Sr 0.0000 0.5000 0.0000  2 Sc 3.13
Sr 0.0000 0.0000 0.5000  2 Sc 3.13
Sr 0.5000 0.0000 0.0000  2 Sc 3.13
In 0.5000 0.5000 0.5000  12 Sr 4.43

## Properties
- Size of the total moment: 2.13 μB/f.u.
- Density of states at the Fermi level: 6.676 states/eV/cell


Tell me which of them is the most stable. Sure, it is run i.


Run i
A geometry-optimized SrSc3In structure, computed with PBE-GGA.

Cell: 5.2444 5.2444 5.2444 Å, 90.00 90.00 90.00°
Last column: nearest neighbours and their distance in Å.
Atoms (fractional coordinates):
Sc 0.0000 0.5000 0.0000  2 Sr 2.62
Sc 0.0000 0.0000 0.5000  2 Sr 2.62
Sc 0.5000 0.0000 0.0000  2 Sr 2.62
Sr 0.0000 0.0000 0.0000  6 Sc 2.62
In 0.5000 0.5000 0.5000  12 Sc 3.71

## Properties
- Size of the total moment: 0.00 μB/f.u.
- Density of states at the Fermi level: 5.095 states/eV/cell


Run ii
A geometry-optimized SrSc3In structure, computed with PBE-GGA.

Cell: 5.5251 5.5251 5.5251 Å, 90.00 90.00 90.00°
Last column: nearest neighbours and their distance in Å.
Atoms (fractional coordinates):
Sc 0.0000 0.5000 0.0000  2 In 2.76
Sc 0.0000 0.0000 0.5000  2 In 2.76
Sc 0.5000 0.0000 0.0000  2 In 2.76
Sr 0.5000 0.5000 0.5000  12 Sc 3.91
In 0.0000 0.0000 0.0000  6 Sc 2.76

## Properties
- Size of the total moment: 0.00 μB/f.u.
- Density of states at the Fermi level: 7.016 states/eV/cell


Tell me which of them is the most stable. Sure, it is run ii.


Run i
A geometry-optimized ScTa3In structure, computed with PBE-GGA.

Cell: 4.7812 4.7812 4.7812 Å, 90.00 90.00 90.00°
Last column: nearest neighbours and their distance in Å.
Atoms (fractional coordinates):
Sc 0.0000 0.0000 0.0000  6 Ta 2.39
In 0.5000 0.5000 0.5000  12 Ta 3.38
Ta 0.0000 0.5000 0.0000  2 Sc 2.39
Ta 0.0000 0.0000 0.5000  2 Sc 2.39
Ta 0.5000 0.0000 0.0000  2 Sc 2.39

## Properties
- Size of the total moment: 0.00 μB/f.u.
- Density of states at the Fermi level: 7.012 states/eV/cell


Run ii
A geometry-optimized ScTa3In structure, computed with PBE-GGA.

Cell: 5.0299 5.0299 5.0299 Å, 90.00 90.00 90.00°
Last column: nearest neighbours and their distance in Å.
Atoms (fractional coordinates):
Sc 0.5000 0.5000 0.5000  12 Ta 3.56
In 0.0000 0.0000 0.0000  6 Ta 2.51
Ta 0.0000 0.5000 0.0000  2 In 2.51
Ta 0.0000 0.0000 0.5000  2 In 2.51
Ta 0.5000 0.0000 0.0000  2 In 2.51

## Properties
- Size of the total moment: 0.00 μB/f.u.
- Density of states at the Fermi level: 8.497 states/eV/cell


Tell me which of them is the most stable. Sure, it is run i.


Run i
A geometry-optimized TbSc4In structure, computed with PBE-GGA.

Cell: 4.9945 6.7625 9.5460 Å, 90.00 105.17 90.00°
Last column: nearest neighbours and their distance in Å.
Atoms (fractional coordinates):
Tb 0.1231 0.2500 0.2462  7 Sc 3.24-3.56
Tb 0.8769 0.7500 0.7538  7 Sc 3.24-3.56
Sc 0.5000 0.5000 0.0000  8 Sc 3.07-3.38
Sc 0.5000 0.0000 0.0000  8 Sc 3.07-3.38
Sc 0.6659 0.9672 0.3318  3 In 2.87-3.05, 2 Sc 2.94-3.07
Sc 0.3341 0.0328 0.6682  3 In 2.87-3.05, 2 Sc 2.94-3.07
Sc 0.3341 0.4672 0.6682  3 In 2.87-3.05, 2 Sc 2.94-3.07
Sc 0.6659 0.5328 0.3318  3 In 2.87-3.05, 2 Sc 2.94-3.07
Sc 0.0620 0.7500 0.1240  1 In 2.87
Sc 0.9380 0.2500 0.8760  1 In 2.87
In 0.2176 0.7500 0.4352  7 Sc 2.87-3.05
In 0.7824 0.2500 0.5648  7 Sc 2.87-3.05

## Properties
- Size of the total moment: 0.74 μB/f.u.
- Density of states at the Fermi level: 15.991 states/eV/cell


Run ii
A geometry-optimized TbSc4In structure, computed with PBE-GGA.

Cell: 5.5924 5.6199 5.7082 Å, 60.51 81.63 72.80°
Last column: nearest neighbours and their distance in Å.
Atoms (fractional coordinates):
Tb 0.0000 0.0000 0.0000  10 Sc 3.25-3.33, 2 In 3.33
Sc 0.0000 0.3349 0.3302  7 Sc 3.24-3.33, 2 In 3.24, 3 Tb 3.25-3.33
Sc 0.5000 0.1707 0.6586  7 Sc 3.22-3.39, 2 Tb 3.27, 3 In 3.27-3.28
Sc 0.0000 0.6651 0.6698  7 Sc 3.24-3.33, 2 In 3.24, 3 Tb 3.25-3.33
Sc 0.5000 0.8293 0.3414  7 Sc 3.22-3.39, 2 Tb 3.27, 3 In 3.27-3.28
In 0.5000 0.5000 0.0000  10 Sc 3.24-3.28, 2 Tb 3.33

## Properties
- Size of the total moment: 0.04 μB/f.u.
- Density of states at the Fermi level: 10.288 states/eV/cell


Tell me which of them is the most stable. Sure, it is run ii.


Run i
A geometry-optimized TbScIn structure, computed with PBE-GGA.

Cell: 3.4377 3.4377 7.0659 Å, 104.08 104.08 90.00°
Last column: nearest neighbours and their distance in Å.
Atoms (fractional coordinates):
Sc 0.2952 0.2952 0.5904  4 In 3.12, 4 Tb 3.43, 4 Sc 3.44
Tb 0.6124 0.6124 0.2248  4 In 3.32, 4 Sc 3.43, 4 Tb 3.44
In 0.9424 0.9424 0.8848  4 Sc 3.12, 4 Tb 3.32, 4 In 3.44

## Properties
- Size of the total moment: 0.00 μB/f.u.
- Density of states at the Fermi level: 3.522 states/eV/cell


Run ii
A geometry-optimized TbScIn structure, computed with PBE-GGA.

Cell: 5.0353 5.0353 8.0626 Å, 71.80 71.80 60.00°
Last column: nearest neighbours and their distance in Å.
Atoms (fractional coordinates):
Tb 0.2886 0.2886 0.1342  4 In 3.18-3.30, 1 Sc 3.43, 3 Tb 3.54
Tb 0.7114 0.7114 0.8658  4 In 3.18-3.30, 1 Sc 3.43, 3 Tb 3.54
Sc 0.1364 0.1364 0.5908  3 In 3.01, 3 Sc 3.21
Sc 0.8636 0.8636 0.4092  3 In 3.01, 3 Sc 3.21
In 0.4348 0.4348 0.6957  1 In 2.94, 3 Sc 3.01, 3 Tb 3.18
In 0.5652 0.5652 0.3043  1 In 2.94, 3 Sc 3.01, 3 Tb 3.18

## Properties
- Size of the total moment: 0.00 μB/f.u.
- Density of states at the Fermi level: 7.304 states/eV/cell


Tell me which of them is the most stable. Sure, it is run i.


Run i
A geometry-optimized TbScIn structure, computed with PBE-GGA.

Cell: 5.2004 5.2004 6.6187 Å, 90.00 90.00 120.02°
Last column: nearest neighbours and their distance in Å.
Atoms (fractional coordinates):
Tb 0.0000 0.5000 0.0000  2 Tb 3.31, 6 In 3.43, 6 Sc 3.43
Tb 0.0000 0.5000 0.5000  2 Tb 3.31, 6 In 3.43, 6 Sc 3.43
Sc 0.3332 0.1668 0.7500  5 In 3.00-3.31
Sc 0.6668 0.8332 0.2500  5 In 3.00-3.31
In 0.6666 0.8334 0.7500  5 Sc 3.00-3.31
In 0.3334 0.1666 0.2500  5 Sc 3.00-3.31

## Properties
- Size of the total moment: 0.00 μB/f.u.
- Density of states at the Fermi level: 7.109 states/eV/cell


Run ii
A geometry-optimized TbScIn structure, computed with PBE-GGA.

Cell: 3.1754 5.2085 5.2085 Å, 120.00 90.00 90.00°
Last column: nearest neighbours and their distance in Å.
Atoms (fractional coordinates):
Sc 0.1650 0.0000 0.0000  3 Tb 3.01, 2 Sc 3.18
Tb 0.1680 0.3333 0.6667  3 Sc 3.01, 2 Tb 3.18
In 0.6670 0.6667 0.3333  2 In 3.18, 6 Sc 3.40, 6 Tb 3.40

## Properties
- Size of the total moment: 0.01 μB/f.u.
- Density of states at the Fermi level: 4.121 states/eV/cell


Tell me which of them is the most stable. Sure, it is run i.


Run i
A geometry-optimized Tb4ScIn2 structure, computed with PBE-GGA.

Cell: 5.4331 5.4331 9.1644 Å, 72.76 72.76 60.00°
Last column: nearest neighbours and their distance in Å.
Atoms (fractional coordinates):
Tb 0.7328 0.7328 0.8016  4 In 3.12-3.15
Tb 0.8703 0.8703 0.3892  3 Sc 3.28, 7 Tb 3.54-3.67
Tb 0.2672 0.2672 0.1984  4 In 3.12-3.15
Tb 0.1297 0.1297 0.6108  3 Sc 3.28, 7 Tb 3.54-3.67
Sc 0.5000 0.5000 0.5000  2 In 2.90
In 0.6122 0.6122 0.1635  1 Sc 2.90, 4 Tb 3.12-3.15
In 0.3878 0.3878 0.8365  1 Sc 2.90, 4 Tb 3.12-3.15

## Properties
- Size of the total moment: 0.14 μB/f.u.
- Density of states at the Fermi level: 12.357 states/eV/cell


Run ii
A geometry-optimized Tb4ScIn2 structure, computed with PBE-GGA.

Cell: 6.0131 6.0131 8.7719 Å, 110.88 110.88 118.78°
Last column: nearest neighbours and their distance in Å.
Atoms (fractional coordinates):
Tb 0.6676 0.3324 0.5000  7 Tb 3.47-3.59, 2 Sc 3.58, 6 In 3.76-3.85
Tb 0.3324 0.6676 0.5000  7 Tb 3.47-3.59, 2 Sc 3.58, 6 In 3.76-3.85
Tb 0.5000 0.0000 0.0000  2 Sc 3.01, 2 Tb 3.06
Tb 0.0000 0.5000 0.0000  2 Sc 3.01, 2 Tb 3.06
Sc 0.0000 0.0000 0.0000  4 Tb 3.01
In 0.7598 0.7598 0.2575  2 In 3.04-3.23
In 0.2402 0.2402 0.7425  2 In 3.04-3.23

## Properties
- Size of the total moment: 1.14 μB/f.u.
- Density of states at the Fermi level: 9.376 states/eV/cell


Tell me which of them is the most stable. Sure, it is run ii.


Run i
A geometry-optimized TbSc3In structure, computed with PBE-GGA.

Cell: 5.1774 6.2181 9.4954 Å, 68.21 74.18 65.40°
Last column: nearest neighbours and their distance in Å.
Atoms (fractional coordinates):
Tb 0.4428 0.7589 0.3554  11 Sc 3.30-3.66, 1 Tb 3.32, 2 In 3.34
Tb 0.5572 0.2411 0.6446  11 Sc 3.30-3.66, 1 Tb 3.32, 2 In 3.34
Sc 0.8588 0.6850 0.5974  1 In 3.00, 3 Sc 3.07-3.12, 3 Tb 3.30-3.35
Sc 0.1412 0.3150 0.4026  1 In 3.00, 3 Sc 3.07-3.12, 3 Tb 3.30-3.35
Sc 0.6591 0.7186 0.9632  3 In 3.02-3.03, 2 Sc 3.27
Sc 0.3409 0.2814 0.0368  3 In 3.02-3.03, 2 Sc 3.27
Sc 0.7784 0.1775 0.2657  1 In 3.01, 4 Sc 3.07-3.27
Sc 0.2216 0.8225 0.7343  1 In 3.01, 4 Sc 3.07-3.27
In 0.0586 0.7591 0.1236  1 In 2.98, 5 Sc 3.00-3.03
In 0.9414 0.2409 0.8764  1 In 2.98, 5 Sc 3.00-3.03

## Properties
- Size of the total moment: 0.00 μB/f.u.
- Density of states at the Fermi level: 12.151 states/eV/cell


Run ii
A geometry-optimized TbSc3In structure, computed with PBE-GGA.

Cell: 12.0094 12.0094 4.5809 Å, 90.00 90.00 157.86°
Last column: nearest neighbours and their distance in Å.
Atoms (fractional coordinates):
Tb 0.3213 0.4299 0.7500  8 Sc 3.25-3.41, 2 In 3.33, 2 Tb 3.43
Tb 0.4299 0.3213 0.2500  8 Sc 3.25-3.41, 2 In 3.33, 2 Tb 3.43
Sc 0.0288 0.7222 0.2500  6 Sc 3.24-3.31, 4 In 3.25, 2 Tb 3.28
Sc 0.8239 0.9282 0.2500  6 Tb 3.25-3.41, 4 Sc 3.31-3.36, 2 In 3.38
Sc 0.6256 0.1263 0.2500  4 In 3.17-3.19, 8 Sc 3.24-3.25
Sc 0.9282 0.8239 0.7500  6 Tb 3.25-3.41, 4 Sc 3.31-3.36, 2 In 3.38
Sc 0.7222 0.0288 0.7500  6 Sc 3.24-3.31, 4 In 3.25, 2 Tb 3.28
Sc 0.1263 0.6256 0.7500  4 In 3.17-3.19, 8 Sc 3.24-3.25
In 0.5328 0.2192 0.7500  10 Sc 3.17-3.38, 2 Tb 3.33
In 0.2192 0.5328 0.2500  10 Sc 3.17-3.38, 2 Tb 3.33

## Properties
- Size of the total moment: 1.08 μB/f.u.
- Density of states at the Fermi level: 12.456 states/eV/cell


Tell me which of them is the most stable. Sure, it is run ii.


Run i
A geometry-optimized TbTmScIn structure, computed with PBE-GGA.

Cell: 5.3235 5.3235 5.3235 Å, 60.00 60.00 60.00°
Last column: nearest neighbours and their distance in Å.
Atoms (fractional coordinates):
Sc 0.0000 0.0000 0.0000  4 Tm 3.26, 4 Tb 3.26
Tm 0.7500 0.7500 0.7500  4 Sc 3.26, 4 In 3.26
Tb 0.2500 0.2500 0.2500  4 Sc 3.26, 4 In 3.26
In 0.5000 0.5000 0.5000  4 Tb 3.26, 4 Tm 3.26

## Properties
- Size of the total moment: 0.78 μB/f.u.
- Density of states at the Fermi level: 6.162 states/eV/cell


Run ii
A geometry-optimized TbTmScIn structure, computed with PBE-GGA.

Cell: 4.7077 4.7235 4.7428 Å, 90.00 90.00 90.00°
Last column: nearest neighbours and their distance in Å.
Atoms (fractional coordinates):
Tb 0.5000 0.5000 0.0000  4 Sc 3.33, 4 In 3.34, 4 Tm 3.35
Tm 0.5000 0.0000 0.5000  4 In 3.33, 4 Sc 3.34, 4 Tb 3.35
Sc 0.0000 0.0000 0.0000  4 Tb 3.33, 4 Tm 3.34, 4 In 3.35
In 0.0000 0.5000 0.5000  4 Tm 3.33, 4 Tb 3.34, 4 Sc 3.35

## Properties
- Size of the total moment: 0.72 μB/f.u.
- Density of states at the Fermi level: 5.186 states/eV/cell


Tell me which of them is the most stable. Sure, it is run ii.


Run i
A geometry-optimized TbScZnIn structure, computed with PBE-GGA.

Cell: 3.5452 3.5452 7.2148 Å, 90.00 90.00 90.00°
Last column: nearest neighbours and their distance in Å.
Atoms (fractional coordinates):
Tb 0.5000 0.5000 0.1252  4 Zn 3.12, 4 In 3.26, 1 Sc 3.32
Sc 0.5000 0.5000 0.5852  4 Zn 2.90, 4 In 3.09
Zn 0.0000 0.0000 0.3822  4 Sc 2.90, 4 Tb 3.12
In 0.0000 0.0000 0.8353  4 Sc 3.09, 4 Tb 3.26, 1 Zn 3.27

## Properties
- Size of the total moment: 0.00 μB/f.u.
- Density of states at the Fermi level: 3.122 states/eV/cell


Run ii
A geometry-optimized TbScZnIn structure, computed with PBE-GGA.

Cell: 5.0649 5.0649 5.0649 Å, 60.00 60.00 60.00°
Last column: nearest neighbours and their distance in Å.
Atoms (fractional coordinates):
Sc 0.2500 0.2500 0.2500  4 In 3.10, 4 Zn 3.10
Zn 0.0000 0.0000 0.0000  4 Tb 3.10, 4 Sc 3.10
Tb 0.7500 0.7500 0.7500  4 In 3.10, 4 Zn 3.10
In 0.5000 0.5000 0.5000  4 Tb 3.10, 4 Sc 3.10

## Properties
- Size of the total moment: 0.00 μB/f.u.
- Density of states at the Fermi level: 3.848 states/eV/cell


Tell me which of them is the most stable. Sure, it is run i.


Run i
A geometry-optimized ThScInTc structure, computed with PBE-GGA.

Cell: 5.0614 5.0614 5.0614 Å, 60.00 60.00 60.00°
Last column: nearest neighbours and their distance in Å.
Atoms (fractional coordinates):
Sc 0.0000 0.0000 0.0000  4 In 3.10, 4 Tc 3.10
Tc 0.2500 0.2500 0.2500  4 Sc 3.10, 4 Th 3.10
Th 0.5000 0.5000 0.5000  4 Tc 3.10, 4 In 3.10
In 0.7500 0.7500 0.7500  4 Th 3.10, 4 Sc 3.10

## Properties
- Size of the total moment: 0.00 μB/f.u.
- Density of states at the Fermi level: 2.562 states/eV/cell


Run ii
A geometry-optimized ThScInTc structure, computed with PBE-GGA.

Cell: 3.3818 3.3818 8.0560 Å, 90.00 90.00 90.00°
Last column: nearest neighbours and their distance in Å.
Atoms (fractional coordinates):
Th 0.5000 0.5000 0.7734  4 Tc 3.01, 1 Sc 3.30
Sc 0.5000 0.5000 0.3632  4 Tc 2.81
In 0.0000 0.0000 0.1017  4 Sc 3.19, 4 In 3.38, 4 Th 3.57
Tc 0.0000 0.0000 0.5464  4 Sc 2.81, 4 Th 3.01

## Properties
- Size of the total moment: 0.00 μB/f.u.
- Density of states at the Fermi level: 4.803 states/eV/cell


Tell me which of them is the most stable. Sure, it is run ii.